Entry 1:
NaPbI2 GGA-PBEsol relaxed; mass density = 6.302 g cm⁻³; volume = 31.88 Å³ per atom
1.0
7.990 0.000 0.000
0.000 7.990 0.000
0.000 0.000 7.990
Na Pb I
4 4 8
direct
0.000 0.000 0.000 Na
0.000 0.500 0.500 Na
0.500 0.000 0.500 Na
0.500 0.500 0.000 Na
0.000 0.000 0.500 Pb
0.000 0.500 0.000 Pb
0.500 0.000 0.000 Pb
0.500 0.500 0.500 Pb
0.250 0.250 0.250 I
0.250 0.250 0.750 I
0.250 0.750 0.250 I
0.250 0.750 0.750 I
0.750 0.250 0.250 I
0.750 0.250 0.750 I
0.750 0.750 0.250 I
0.750 0.750 0.750 I


Entry 2:
NaPbSI2 GGA-PBEsol relaxed; mass density = 5.415 g cm⁻³; volume = 31.65 Å³ per atom
1.0
5.622 0.000 0.000
0.000 5.622 0.000
0.000 0.000 5.007
Na Pb S I
1 1 1 2
direct
0.000 0.000 0.000 Na
0.500 0.500 0.500 Pb
0.000 0.000 0.500 S
0.000 0.500 0.000 I
0.500 0.000 0.000 I


Entry 3:
NaPbSI2 GGA-PBEsol relaxed; mass density = 4.397 g cm⁻³; volume = 38.98 Å³ per atom
1.0
6.199 0.000 0.000
0.000 6.199 0.000
0.000 0.000 5.071
Na Pb S I
1 1 1 2
direct
0.000 0.000 0.000 Na
0.500 0.500 0.500 Pb
0.500 0.500 0.000 S
0.000 0.500 0.500 I
0.500 0.000 0.500 I


Number 1: raw formation energy -543 meV/atom. Number 2: raw formation energy -29 meV/atom. Number 3: raw formation energy -382 meV/atom.